## Cs4Rb2GaAs2 (PBE)

Data for Cs4Rb2GaAs2 after structural relaxation.

Cell lengths 11.387, 11.387, 5.486 Å; angles 95.85, 95.85, 80.26 degrees
Element x y z (fractional)
Cs1 0.034 0.707 0.534
Cs2 0.293 0.966 0.466
Cs3 0.707 0.034 0.534
Cs4 0.966 0.293 0.466
Rb1 0.339 0.339 0.065
Rb2 0.661 0.661 0.935
Ga1 0.000 0.000 0.000
As1 0.130 0.130 0.965
As2 0.870 0.870 0.035

Computed properties:
The energy of formation from the pure elements comes out at -0.238 eV/atom. As for the density of states at the Fermi level: 4.0 states/eV/f.u.

## LaSiRu2 (PBE)

Data for LaSiRu2 after structural relaxation.

Cell lengths 8.784, 8.784, 8.784 Å; angles 149.21, 149.21, 44.10 degrees
Element x y z (fractional)
La1 0.000 0.000 0.000
La2 0.750 0.250 0.500
Si1 0.250 0.750 0.500
Si2 0.500 0.500 0.000
Ru1 0.283 0.625 0.158
Ru2 0.375 0.533 0.658
Ru3 0.467 0.125 0.842
Ru4 0.875 0.717 0.342

Computed properties:
For the total energy, the calculation gives -7.31 eV per atom. As for the density of states at the Fermi level: 4.3 states/eV/f.u.

## Ac2LaPb2 (PBE)

Data for Ac2LaPb2 after structural relaxation.

Cell lengths 7.338, 7.338, 12.045 Å; angles 114.76, 114.76, 40.69 degrees
Element x y z (fractional)
Ac1 0.011 0.011 0.181
Ac2 0.183 0.183 0.590
Ac3 0.817 0.817 0.410
Ac4 0.989 0.989 0.819
La1 0.287 0.287 0.147
La2 0.713 0.713 0.853
Pb1 0.372 0.372 0.928
Pb2 0.465 0.465 0.610
Pb3 0.535 0.535 0.390
Pb4 0.628 0.628 0.072

Computed properties:
Its energy relative to the lowest polymorph listed for this composition is 0.30 eV/f.u. The energy of formation from the pure elements comes out at -0.457 eV/atom. As for the density of states at the Fermi level: 4.4 states/eV/f.u.

## Pu2URh6 (PBE)

Data for Pu2URh6 after structural relaxation.

Cell lengths 5.904, 5.904, 5.494 Å; angles 90.00, 90.00, 120.00 degrees
Element x y z (fractional)
Pu1 0.333 0.667 0.180
Pu2 0.667 0.333 0.820
U1 0.000 0.000 0.000
Rh1 0.180 0.361 0.682
Rh2 0.180 0.820 0.682
Rh3 0.361 0.180 0.318
Rh4 0.639 0.820 0.682
Rh5 0.820 0.180 0.318
Rh6 0.820 0.639 0.318

Computed properties:
The energy of formation from the pure elements comes out at -0.486 eV/atom. As for the density of states at the Fermi level: 24.0 states/eV/f.u.

## HfINF2 (PBE)

Data for HfINF2 after structural relaxation.

Cell lengths 4.872, 4.872, 4.047 Å; angles 90.00, 90.00, 90.00 degrees
Element x y z (fractional)
Hf1 0.000 0.000 0.000
I1 0.500 0.500 0.500
N1 0.500 0.500 0.000
F1 0.000 0.500 0.500
F2 0.500 0.000 0.500

Computed properties:
Its energy relative to the lowest polymorph listed for this composition is 11.23 eV/f.u. As for the density of states at the Fermi level: 5.0 states/eV/f.u.

## La8Pr5Ho (PBE)

Data for La8Pr5Ho after structural relaxation.

Cell lengths 8.763, 8.763, 8.763 Å; angles 110.36, 110.36, 107.70 degrees
Element x y z (fractional)
La1 0.078 0.341 0.601
La2 0.176 0.443 0.109
La3 0.335 0.067 0.891
La4 0.523 0.922 0.263
La5 0.557 0.665 0.732
La6 0.659 0.260 0.737
La7 0.740 0.477 0.399
La8 0.933 0.824 0.268
Pr1 0.025 0.717 0.896
Pr2 0.283 0.179 0.308
Pr3 0.500 0.500 0.000
Pr4 0.821 0.129 0.104
Pr5 0.871 0.975 0.692
Ho1 0.250 0.750 0.500

Computed properties:
The energy of formation from the pure elements comes out at 0.216 eV/atom. As for the density of states at the Fermi level: 22.6 states/eV/f.u.

## CrHg2As (PBE)

Data for CrHg2As after structural relaxation.

Cell lengths 4.546, 4.546, 7.088 Å; angles 107.51, 107.51, 41.90 degrees
Element x y z (fractional)
Cr1 0.000 0.000 0.000
Hg1 0.333 0.333 0.643
Hg2 0.529 0.529 0.357
As1 0.712 0.712 0.999

Computed properties:
The energy of formation from the pure elements comes out at 0.217 eV/atom. As for the density of states at the Fermi level: 2.0 states/eV/f.u.

## MnTlHg2Br8 (PBE)

Data for MnTlHg2Br8 after structural relaxation.

Cell lengths 6.902, 7.553, 9.236 Å; angles 110.72, 95.15, 97.74 degrees
Element x y z (fractional)
Mn1 0.000 0.000 0.000
Tl1 0.000 0.000 0.500
Hg1 0.482 0.703 0.705
Hg2 0.518 0.297 0.295
Br1 0.109 0.747 0.723
Br2 0.185 0.865 0.156
Br3 0.292 0.259 0.034
Br4 0.447 0.283 0.570
Br5 0.553 0.717 0.430
Br6 0.708 0.741 0.966
Br7 0.815 0.135 0.844
Br8 0.891 0.253 0.277

Computed properties:
For the total energy, the calculation gives -2.70 eV per atom.

## ScTi3Au (PBE)

Data for ScTi3Au after structural relaxation.

Cell lengths 4.923, 4.923, 4.923 Å; angles 90.00, 90.00, 90.00 degrees
Element x y z (fractional)
Sc1 0.000 0.000 0.000
Ti1 0.000 0.500 0.500
Ti2 0.500 0.000 0.500
Ti3 0.500 0.500 0.000
Au1 0.500 0.500 0.500

Computed properties:
Its energy relative to the lowest polymorph listed for this composition is 0.00 eV/f.u. The energy of formation from the pure elements comes out at 0.635 eV/atom. As for the density of states at the Fermi level: 6.5 states/eV/f.u.

## LaCeNdGd (PBE)

Data for LaCeNdGd after structural relaxation.

Cell lengths 5.797, 5.797, 5.797 Å; angles 60.00, 60.00, 60.00 degrees
Element x y z (fractional)
La1 0.000 0.000 0.000
Ce1 0.750 0.750 0.750
Nd1 0.250 0.250 0.250
Gd1 0.500 0.500 0.500

Computed properties:
The energy of formation from the pure elements comes out at 0.184 eV/atom. As for the density of states at the Fermi level: 11.0 states/eV/f.u.

## Ac2Bi3TeRh4 (PBE)

Data for Ac2Bi3TeRh4 after structural relaxation.

Cell lengths 4.831, 4.831, 10.508 Å; angles 90.00, 90.00, 90.00 degrees
Element x y z (fractional)
Ac1 0.000 0.500 0.242
Ac2 0.500 0.000 0.758
Bi1 0.000 0.500 0.872
Bi2 0.500 0.000 0.128
Bi3 0.500 0.500 0.500
Te1 0.000 0.000 0.500
Rh1 0.000 0.000 0.000
Rh2 0.000 0.500 0.616
Rh3 0.500 0.000 0.384
Rh4 0.500 0.500 0.000

Computed properties:
For the total energy, the calculation gives -5.83 eV per atom. As for the density of states at the Fermi level: 11.1 states/eV/f.u.

## Ac2Al3Ga4Au (PBE)

Data for Ac2Al3Ga4Au after structural relaxation.

Cell lengths 4.533, 4.533, 10.699 Å; angles 90.00, 90.00, 90.00 degrees
Element x y z (fractional)
Ac1 0.000 0.500 0.249
Ac2 0.500 0.000 0.751
Al1 0.000 0.000 0.000
Al2 0.000 0.500 0.628
Al3 0.500 0.000 0.372
Ga1 0.000 0.000 0.500
Ga2 0.000 0.500 0.867
Ga3 0.500 0.000 0.133
Ga4 0.500 0.500 0.500
Au1 0.500 0.500 0.000

Computed properties:
The energy of formation from the pure elements comes out at -0.507 eV/atom. As for the density of states at the Fermi level: 3.6 states/eV/f.u.

## Pm2DyTmSe5 (PBE)

Data for Pm2DyTmSe5 after structural relaxation.

Cell lengths 5.082, 5.082, 10.694 Å; angles 90.00, 90.00, 90.00 degrees
Element x y z (fractional)
Pm1 0.000 0.000 0.178
Pm2 0.000 0.000 0.822
Dy1 0.500 0.500 0.500
Tm1 0.500 0.500 0.000
Se1 0.000 0.000 0.500
Se2 0.000 0.500 0.000
Se3 0.500 0.000 0.000
Se4 0.500 0.500 0.253
Se5 0.500 0.500 0.747

Computed properties:
For the total energy, the calculation gives -5.26 eV per atom. As for the density of states at the Fermi level: 6.2 states/eV/f.u.

## TlCdRe4 (PBE)

Data for TlCdRe4 after structural relaxation.

Cell lengths 5.332, 5.332, 5.332 Å; angles 60.00, 60.00, 60.00 degrees
Element x y z (fractional)
Tl1 0.000 0.000 0.000
Cd1 0.750 0.750 0.750
Re1 0.375 0.375 0.375
Re2 0.375 0.375 0.874
Re3 0.375 0.874 0.375
Re4 0.874 0.375 0.375

Computed properties:
The energy of formation from the pure elements comes out at 0.787 eV/atom. As for the density of states at the Fermi level: 4.3 states/eV/f.u.

## HoEr2Sc (PBE)

Data for HoEr2Sc after structural relaxation.

Cell lengths 5.967, 6.890, 6.896 Å; angles 60.08, 73.51, 73.38 degrees
Element x y z (fractional)
Ho1 0.246 0.126 0.126
Ho2 0.754 0.874 0.874
Er1 0.250 0.127 0.624
Er2 0.250 0.623 0.127
Er3 0.750 0.377 0.873
Er4 0.750 0.873 0.376
Sc1 0.255 0.624 0.624
Sc2 0.745 0.376 0.376

Computed properties:
Its energy relative to the lowest polymorph listed for this composition is 0.06 eV/f.u. The energy of formation from the pure elements comes out at 0.042 eV/atom. As for the density of states at the Fermi level: 6.0 states/eV/f.u.

## LaHoAu (PBE)

Data for LaHoAu after structural relaxation.

Cell lengths 5.097, 5.097, 5.097 Å; angles 60.00, 60.00, 60.00 degrees
Element x y z (fractional)
La1 0.000 0.000 0.000
Ho1 0.500 0.500 0.500
Au1 0.250 0.250 0.250

Computed properties:
Its energy relative to the lowest polymorph listed for this composition is 0.58 eV/f.u. The energy of formation from the pure elements comes out at -0.400 eV/atom. As for the density of states at the Fermi level: 4.1 states/eV/f.u.

## Ru3RhCl (PBE)

Data for Ru3RhCl after structural relaxation.

Cell lengths 4.802, 4.802, 4.802 Å; angles 90.00, 90.00, 90.00 degrees
Element x y z (fractional)
Ru1 0.000 0.000 0.500
Ru2 0.000 0.500 0.000
Ru3 0.500 0.000 0.000
Rh1 0.000 0.000 0.000
Cl1 0.500 0.500 0.500

Computed properties:
Its energy relative to the lowest polymorph listed for this composition is 3.27 eV/f.u. As for the density of states at the Fermi level: 9.2 states/eV/f.u.

## SrSe2BrO (PBE)

Data for SrSe2BrO after structural relaxation.

Cell lengths 4.298, 4.298, 6.180 Å; angles 90.00, 90.00, 90.00 degrees
Element x y z (fractional)
Sr1 0.000 0.000 0.000
Se1 0.000 0.500 0.500
Se2 0.500 0.000 0.500
Br1 0.500 0.500 0.000
O1 0.500 0.500 0.500

Computed properties:
Its energy relative to the lowest polymorph listed for this composition is 0.00 eV/f.u. As for the density of states at the Fermi level: 2.9 states/eV/f.u.

## BaLiBeHg2 (PBE)

Data for BaLiBeHg2 after structural relaxation.

Cell lengths 5.013, 5.013, 6.089 Å; angles 90.00, 90.00, 90.00 degrees
Element x y z (fractional)
Ba1 0.000 0.000 0.000
Li1 0.000 0.000 0.500
Be1 0.500 0.500 0.000
Hg1 0.000 0.500 0.500
Hg2 0.500 0.000 0.500

Computed properties:
The energy of formation from the pure elements comes out at 0.436 eV/atom. As for the density of states at the Fermi level: 5.5 states/eV/f.u.

## TaHg2Pb (PBE)

Data for TaHg2Pb after structural relaxation.

Cell lengths 5.549, 5.549, 3.174 Å; angles 90.00, 90.00, 114.83 degrees
Element x y z (fractional)
Ta1 0.000 0.000 0.000
Hg1 0.000 0.500 0.500
Hg2 0.500 0.000 0.500
Pb1 0.500 0.500 0.000

Computed properties:
The energy of formation from the pure elements comes out at 0.466 eV/atom. As for the density of states at the Fermi level: 2.0 states/eV/f.u.